[1]
{"formula": "CuAg", "functional": "PBE-GGA", "state": "relaxed", "formation_enthalpy_0k_ev_per_fu": 0.16, "lattice": [[7.666, -1.425, 0.000], [7.666, 1.425, 0.000], [-1.627, 0.000, 6.846]], "species": ["Cu", "Cu", "Cu", "Cu", "Cu", "Ag", "Ag", "Ag", "Ag", "Ag"], "fractional_positions": [[0.000, 0.000, 0.000], [0.003, 0.003, 0.516], [0.168, 0.168, 0.088], [0.584, 0.584, 0.806], [0.587, 0.587, 0.291], [0.182, 0.182, 0.598], [0.394, 0.394, 0.703], [0.409, 0.409, 0.214], [0.782, 0.782, 0.369], [0.783, 0.783, 0.926]]}

***

[2]
{"formula": "Cu4Ag3", "functional": "PBE-GGA", "state": "relaxed", "formation_enthalpy_0k_ev_per_fu": 0.68, "de_polymorph_ev_per_fu": 0.34, "lattice": [[9.052, 0.000, 0.000], [0.000, 2.790, 0.000], [-0.527, 0.000, 8.056]], "species": ["Cu", "Cu", "Cu", "Cu", "Cu", "Cu", "Cu", "Cu", "Ag", "Ag", "Ag", "Ag", "Ag", "Ag"], "fractional_positions": [[0.000, 0.000, 0.000], [0.063, 0.500, 0.279], [0.204, 0.500, 0.866], [0.413, 0.000, 0.748], [0.500, 0.500, 0.000], [0.563, 0.000, 0.279], [0.704, 0.000, 0.866], [0.913, 0.500, 0.748], [0.128, 0.000, 0.593], [0.281, 0.000, 0.138], [0.352, 0.500, 0.440], [0.628, 0.500, 0.593], [0.781, 0.500, 0.138], [0.852, 0.000, 0.440]]}

***

[3]
{"formula": "CuAg2", "functional": "PBE-GGA", "state": "relaxed", "formation_enthalpy_0k_ev_per_fu": 0.25, "de_polymorph_ev_per_fu": 0.15, "lattice": [[4.534, -1.982, 0.000], [4.534, 1.982, 0.000], [-2.884, 0.000, 8.002]], "species": ["Cu", "Cu", "Cu", "Ag", "Ag", "Ag", "Ag", "Ag", "Ag"], "fractional_positions": [[0.000, 0.000, 0.000], [0.002, 0.002, 0.679], [0.672, 0.672, 0.570], [0.012, 0.012, 0.355], [0.331, 0.331, 0.782], [0.335, 0.335, 0.116], [0.346, 0.346, 0.466], [0.659, 0.659, 0.887], [0.666, 0.666, 0.229]]}

***

[4]
{"formula": "Cu5Ag3", "functional": "PBE-GGA", "state": "relaxed", "formation_enthalpy_0k_ev_per_fu": 0.83, "de_polymorph_ev_per_fu": 0.45, "lattice": [[5.412, 0.000, 0.000], [0.000, 7.703, 0.000], [0.000, 0.000, 5.435]], "species": ["Cu", "Cu", "Cu", "Cu", "Cu", "Cu", "Cu", "Cu", "Cu", "Cu", "Ag", "Ag", "Ag", "Ag", "Ag", "Ag"], "fractional_positions": [[0.000, 0.000, 0.000], [0.000, 0.000, 0.500], [0.000, 0.500, 0.000], [0.250, 0.250, 0.754], [0.250, 0.750, 0.246], [0.500, 0.000, 0.000], [0.500, 0.500, 0.000], [0.500, 0.500, 0.500], [0.750, 0.250, 0.246], [0.750, 0.750, 0.754], [0.000, 0.500, 0.500], [0.250, 0.250, 0.239], [0.250, 0.750, 0.761], [0.500, 0.000, 0.500], [0.750, 0.250, 0.761], [0.750, 0.750, 0.239]]}

***

[5]
{"formula": "Cu3Ag7", "functional": "PBE-GGA", "state": "relaxed", "formation_enthalpy_0k_ev_per_fu": 0.79, "de_polymorph_ev_per_fu": 0.50, "lattice": [[4.705, -1.438, 0.000], [4.705, 1.438, 0.000], [-2.152, 0.000, 12.029]], "species": ["Cu", "Cu", "Cu", "Ag", "Ag", "Ag", "Ag", "Ag", "Ag", "Ag"], "fractional_positions": [[0.000, 0.000, 0.000], [0.404, 0.404, 0.818], [0.596, 0.596, 0.182], [0.090, 0.090, 0.709], [0.202, 0.202, 0.388], [0.301, 0.301, 0.097], [0.500, 0.500, 0.500], [0.699, 0.699, 0.903], [0.798, 0.798, 0.612], [0.910, 0.910, 0.291]]}

***

[6]
{"formula": "Cu3Ag2", "functional": "PBE-GGA", "state": "relaxed", "formation_enthalpy_0k_ev_per_fu": 0.46, "de_polymorph_ev_per_fu": 0.25, "lattice": [[3.888, 0.000, 0.000], [0.000, 1.943, 9.469], [0.000, -1.943, 9.469]], "species": ["Cu", "Cu", "Cu", "Cu", "Cu", "Cu", "Ag", "Ag", "Ag", "Ag"], "fractional_positions": [[0.000, 0.000, 0.000], [0.000, 0.190, 0.190], [0.000, 0.406, 0.406], [0.000, 0.596, 0.596], [0.500, 0.500, 0.500], [0.500, 0.690, 0.690], [0.000, 0.793, 0.793], [0.500, 0.095, 0.095], [0.500, 0.293, 0.293], [0.500, 0.905, 0.905]]}

***

[7]
{"formula": "CuAg", "functional": "PBE-GGA", "state": "relaxed", "formation_enthalpy_0k_ev_per_fu": 0.19, "lattice": [[8.209, 0.000, 0.000], [-1.691, 9.205, 0.000], [-1.500, -2.625, 9.533]], "species": ["Cu", "Cu", "Cu", "Cu", "Cu", "Cu", "Cu", "Cu", "Cu", "Cu", "Cu", "Cu", "Cu", "Cu", "Cu", "Cu", "Cu", "Cu", "Cu", "Cu", "Cu", "Cu", "Cu", "Cu", "Ag", "Ag", "Ag", "Ag", "Ag", "Ag", "Ag", "Ag", "Ag", "Ag", "Ag", "Ag", "Ag", "Ag", "Ag", "Ag", "Ag", "Ag", "Ag", "Ag", "Ag", "Ag", "Ag", "Ag"], "fractional_positions": [[0.000, 0.000, 0.000], [0.002, 0.243, 0.430], [0.006, 0.743, 0.081], [0.013, 0.505, 0.180], [0.098, 0.008, 0.773], [0.112, 0.258, 0.205], [0.227, 0.236, 0.978], [0.245, 0.511, 0.396], [0.245, 0.743, 0.309], [0.333, 0.489, 0.172], [0.339, 0.746, 0.083], [0.343, 0.010, 0.004], [0.417, 0.008, 0.774], [0.436, 0.256, 0.201], [0.549, 0.242, 0.975], [0.553, 0.723, 0.292], [0.570, 0.496, 0.394], [0.647, 0.258, 0.749], [0.668, 0.497, 0.173], [0.673, 0.999, 0.005], [0.684, 0.756, 0.087], [0.786, 0.506, 0.956], [0.788, 0.752, 0.867], [0.890, 0.004, 0.226], [0.109, 0.015, 0.499], [0.120, 0.490, 0.936], [0.120, 0.764, 0.851], [0.190, 0.768, 0.580], [0.200, 0.490, 0.655], [0.213, 0.998, 0.235], [0.317, 0.243, 0.727], [0.334, 0.271, 0.448], [0.447, 0.015, 0.512], [0.457, 0.757, 0.839], [0.462, 0.501, 0.942], [0.507, 0.741, 0.552], [0.547, 0.501, 0.672], [0.551, 0.995, 0.236], [0.681, 0.265, 0.479], [0.735, 0.989, 0.755], [0.766, 0.977, 0.470], [0.771, 0.254, 0.212], [0.853, 0.755, 0.604], [0.877, 0.502, 0.709], [0.889, 0.248, 0.968], [0.903, 0.748, 0.317], [0.923, 0.505, 0.430], [0.965, 0.225, 0.693]]}

***

[8]
{"formula": "Cu8Ag", "functional": "PBE-GGA", "state": "relaxed", "formation_enthalpy_0k_ev_per_fu": 0.38, "de_polymorph_ev_per_fu": 0.05, "lattice": [[5.521, -1.841, 0.000], [5.521, 1.841, 0.000], [-1.830, 0.000, 5.525]], "species": ["Cu", "Cu", "Cu", "Cu", "Cu", "Cu", "Cu", "Cu", "Ag"], "fractional_positions": [[0.057, 0.057, 0.344], [0.172, 0.172, 0.000], [0.274, 0.274, 0.661], [0.387, 0.387, 0.339], [0.613, 0.613, 0.661], [0.726, 0.726, 0.339], [0.828, 0.828, 0.000], [0.943, 0.943, 0.656], [0.500, 0.500, 0.000]]}

***

[9]
{"formula": "Cu5Ag3", "functional": "PBE-GGA", "state": "relaxed", "formation_enthalpy_0k_ev_per_fu": 0.47, "de_polymorph_ev_per_fu": 0.10, "lattice": [[2.804, 0.000, 0.000], [0.000, 3.408, 0.000], [0.000, 0.000, 11.865]], "species": ["Cu", "Cu", "Cu", "Cu", "Cu", "Ag", "Ag", "Ag"], "fractional_positions": [[0.000, 0.000, 0.000], [0.000, 0.000, 0.214], [0.000, 0.000, 0.786], [0.500, 0.500, 0.108], [0.500, 0.500, 0.892], [0.000, 0.000, 0.500], [0.500, 0.500, 0.345], [0.500, 0.500, 0.655]]}

***

[10]
{"formula": "Cu3Ag2", "functional": "PBE-GGA", "state": "relaxed", "formation_enthalpy_0k_ev_per_fu": 0.36, "de_polymorph_ev_per_fu": 0.15, "lattice": [[2.824, 0.000, 0.000], [0.000, 3.416, 0.000], [0.000, 0.000, 14.830]], "species": ["Cu", "Cu", "Cu", "Cu", "Cu", "Cu", "Ag", "Ag", "Ag", "Ag"], "fractional_positions": [[0.000, 0.000, 0.000], [0.000, 0.000, 0.170], [0.000, 0.000, 0.627], [0.500, 0.500, 0.087], [0.500, 0.500, 0.709], [0.500, 0.500, 0.916], [0.000, 0.000, 0.398], [0.000, 0.000, 0.813], [0.500, 0.500, 0.274], [0.500, 0.500, 0.522]]}

***

Repeat the first record exactly.
{"formula": "CuAg", "functional": "PBE-GGA", "state": "relaxed", "formation_enthalpy_0k_ev_per_fu": 0.16, "lattice": [[7.666, -1.425, 0.000], [7.666, 1.425, 0.000], [-1.627, 0.000, 6.846]], "species": ["Cu", "Cu", "Cu", "Cu", "Cu", "Ag", "Ag", "Ag", "Ag", "Ag"], "fractional_positions": [[0.000, 0.000, 0.000], [0.003, 0.003, 0.516], [0.168, 0.168, 0.088], [0.584, 0.584, 0.806], [0.587, 0.587, 0.291], [0.182, 0.182, 0.598], [0.394, 0.394, 0.703], [0.409, 0.409, 0.214], [0.782, 0.782, 0.369], [0.783, 0.783, 0.926]]}